No. 1
This record from Alexandria describes a relaxed TaGa2Te crystal. The functional is PBE-GGA. Values from VASP.

Cell and atoms, written as Quantum ESPRESSO input:
```
&SYSTEM
  ibrav = 0, nat = 8, ntyp = 3
/
ATOMIC_SPECIES
Ga 69.72 Ga.upf
Ta 180.95 Ta.upf
Te 127.60 Te.upf
CELL_PARAMETERS angstrom
6.153 0.000 0.000
0.000 6.153 0.000
3.076 3.076 6.311
ATOMIC_POSITIONS crystal
Ga 0.648 0.125 0.250
Ga 0.375 0.352 0.750
Ga 0.102 0.625 0.250
Ga 0.875 0.898 0.750
Ta 0.750 0.250 0.500
Ta 0.000 0.000 0.000
Te 0.250 0.750 0.500
Te 0.500 0.500 0.000
```

=====

No. 2
This record from Alexandria describes a relaxed Sr2AgPt crystal. The functional is PBE-GGA. Values from VASP.

Cell and atoms, written as Quantum ESPRESSO input:
```
&SYSTEM
  ibrav = 0, nat = 4, ntyp = 3
/
ATOMIC_SPECIES
Pt 195.08 Pt.upf
Sr 87.62 Sr.upf
Ag 107.87 Ag.upf
CELL_PARAMETERS angstrom
0.000 3.787 3.787
3.787 0.000 3.787
3.787 3.787 0.000
ATOMIC_POSITIONS crystal
Pt 0.500 0.500 0.500
Sr 0.250 0.250 0.250
Sr 0.750 0.750 0.750
Ag 0.000 0.000 0.000
```

As for the offset from the most stable computed form: 0.071 eV per atom. The value obtained for the energy relative to the elements is -0.53 eV per atom.

=====

No. 3
This record from Alexandria describes a relaxed LiTl3O4 crystal. The functional is PBE-GGA. Values from VASP.

Cell and atoms, written as Quantum ESPRESSO input:
```
&SYSTEM
  ibrav = 0, nat = 8, ntyp = 3
/
ATOMIC_SPECIES
Li 6.94 Li.upf
O 16.00 O.upf
Tl 204.38 Tl.upf
CELL_PARAMETERS angstrom
4.480 0.000 -1.988
-0.882 4.392 -1.988
-0.034 -0.041 5.965
ATOMIC_POSITIONS crystal
Li 0.000 0.000 0.000
O 0.500 0.000 0.000
O 0.768 0.768 0.536
O 0.000 0.500 0.000
O 0.232 0.232 0.464
Tl 0.750 0.250 0.500
Tl 0.500 0.500 0.000
Tl 0.250 0.750 0.500
```

As for the offset from the most stable computed form: 0.081 eV per atom.

=====

no.,magnetization (μB per cell),E_tot (eV/atom)
1,0.00,-4.43
2,0.00,-3.59
3,0.00,-4.37